A geometry-optimized GdPO4 structure, computed with PBE-GGA.

Values from the calculation:
- magnetic moment (μB per cell) = 0.00
- final energy (eV per atom) = -8.01
- space group = No. 141

Cell and atoms, written as POSCAR:
```
GdPO4
1.0
5.274 0.443 -2.301
-2.224 4.808 2.292
0.464 -3.773 4.343
Gd O P
2 8 2
direct
0.000 0.000 0.000 Gd
0.750 0.250 0.500 Gd
0.516 0.341 0.175 O
0.659 0.833 0.175 O
0.091 0.417 0.325 O
0.234 0.909 0.325 O
0.091 0.766 0.675 O
0.583 0.909 0.675 O
0.167 0.341 0.825 O
0.659 0.484 0.825 O
0.500 0.500 0.000 P
0.250 0.750 0.500 P
```